This record from the Alexandria database describes an optimized crystal structure of Al2IrRu. The functional is PBE-GGA.

Computed properties:
The calculation puts the formation energy at -0.249 eV/atom.

abc: 2.8261 2.8261 25.4538
angles: 90.00 90.00 120.00
Space group R3m (No. 160, hexagonal axes)
Inequivalent atoms, fractional coordinates:
Al 0.0000 0.0000 0.0000
Al 0.0000 0.0000 0.2431
Ir 0.0000 0.0000 0.7452
Ru 0.0000 0.0000 0.4977



This record from the Alexandria database describes an optimized crystal structure of CaAcSbN. The functional is PBE-GGA.

Computed properties:
The raw formation energy comes out at -0.933 eV/atom.

abc: 4.854 4.854 9.140
angles: 90.00 90.00 90.00
Space group P4/nmm (No. 129, origin choice 2)
Inequivalent atoms, fractional coordinates:
Ca 0.250 0.750 0.000
Ac 0.250 0.250 0.322
Sb 0.250 0.250 0.711
N 0.250 0.250 0.075



This record from the Alexandria database describes an optimized crystal structure of TbSmY3Tm. The functional is PBE-GGA.

Computed properties:
The calculation puts the formation energy at 0.022 eV/atom.

abc: 5.037 15.136 10.086
angles: 90.00 90.00 90.00
Space group Cmcm (No. 63)
Inequivalent atoms, fractional coordinates:
Tb 0.000 0.000 0.000
Sm 0.000 0.499 0.250
Y 0.000 0.167 0.250
Y 0.000 0.334 0.000
Tm 0.000 0.167 0.750